No. 1
Compound: Sc3GeRh
Source: the Alexandria database
Functional: PBE
Structure: relaxed

Geometry as CIF:
```
data_Sc3GeRh
_cell_length_a 4.953
_cell_length_b 4.953
_cell_length_c 4.953
_cell_angle_alpha 90.00
_cell_angle_beta 90.00
_cell_angle_gamma 90.00
_symmetry_space_group_name_H-M 'P m -3 m'
_symmetry_Int_Tables_number 221
_symmetry_space_group_name_Hall '-P 4 2 3'
loop_
_atom_site_label
_atom_site_type_symbol
_atom_site_fract_x
_atom_site_fract_y
_atom_site_fract_z
Sc1 Sc 0.000 0.000 0.500
Ge1 Ge 0.000 0.000 0.000
Rh1 Rh 0.500 0.500 0.500
```



No. 2
Compound: DyEr5Sc
Source: the Alexandria database
Functional: PBE
Structure: relaxed

Geometry as CIF:
```
data_DyEr5Sc
_cell_length_a 9.007
_cell_length_b 3.545
_cell_length_c 13.521
_cell_angle_alpha 90.00
_cell_angle_beta 100.41
_cell_angle_gamma 90.00
_symmetry_space_group_name_H-M 'P 1 21/m 1'
_symmetry_Int_Tables_number 11
loop_
_symmetry_equiv_pos_as_xyz
'x,y,z'
'-x,-y,-z'
'-x,y+1/2,-z'
'x,-y+1/2,z'
loop_
_atom_site_label
_atom_site_type_symbol
_atom_site_fract_x
_atom_site_fract_y
_atom_site_fract_z
Dy1 Dy 0.128 0.250 0.149
Er1 Er 0.009 0.750 0.365
Er2 Er 0.190 0.250 0.895
Er3 Er 0.321 0.250 0.508
Er4 Er 0.338 0.750 0.725
Er5 Er 0.425 0.750 0.085
Sc1 Sc 0.363 0.750 0.312
```



Values for DFT formation energy, eV/atom, ordered as above
0.158 0.067
Values for relative energy among the computed polymorphs, meV/atom, ordered as above
377 0